A relaxed structure of K2AgTeS. Source: Alexandria, functional PBE.

Cell: 6.229 6.229 4.640 Å, 90.00 90.00 90.00°
Atoms (fractional coordinates):
K1 0.000 0.500 0.000
K2 0.500 0.000 0.000
Ag1 0.000 0.000 0.500
Te1 0.500 0.500 0.500
S1 0.000 0.000 0.000

Results
For the calculated volume, the calculation gives 36.0 Å³/atom. Its symmetry is No. 123. The calculation puts the density of states at the Fermi level at 7.1 states/eV/f.u. Its electronic total energy is -14.984 eV per formula unit. For the density, the calculation gives 3.19 g cm⁻³.

***

A relaxed structure of KAg2TeS4. Source: Alexandria, functional PBE.

Cell: 7.657 7.657 8.121 Å, 115.40 115.40 86.79°
Atoms (fractional coordinates):
K1 0.000 0.500 0.000
K2 0.500 0.000 0.500
Ag1 0.000 0.000 0.000
Ag2 0.000 0.000 0.500
Ag3 0.000 0.500 0.500
Ag4 0.500 0.000 0.000
Te1 0.500 0.500 0.000
Te2 0.500 0.500 0.500
S1 0.187 0.245 0.364
S2 0.215 0.721 0.498
S3 0.245 0.187 0.864
S4 0.279 0.785 0.002
S5 0.721 0.215 0.998
S6 0.755 0.813 0.136
S7 0.785 0.279 0.502
S8 0.813 0.755 0.636

Results
For the calculated volume, the calculation gives 24.0 Å³/atom. Its symmetry is No. 15. The calculation puts the density of states at the Fermi level at 3.3 states/eV/f.u. Its electronic total energy is -27.411 eV per formula unit. For the density, the calculation gives 4.42 g cm⁻³.

***

A relaxed structure of K2Ag2TeS4. Source: Alexandria, functional PBE.

Cell: 7.955 7.955 7.650 Å, 111.20 111.20 29.89°
Atoms (fractional coordinates):
K1 0.140 0.140 0.065
K2 0.860 0.860 0.935
Ag1 0.316 0.316 0.520
Ag2 0.684 0.684 0.480
Te1 0.000 0.000 0.500
S1 0.190 0.190 0.695
S2 0.492 0.492 0.735
S3 0.508 0.508 0.265
S4 0.810 0.810 0.305

Results
For the calculated volume, the calculation gives 24.9 Å³/atom. Its symmetry is No. 12. The calculation puts the density of states at the Fermi level at 1.3 states/eV/f.u. Its electronic total energy is -31.369 eV per formula unit. For the density, the calculation gives 4.08 g cm⁻³.

***

A relaxed structure of K2AgTeS. Source: Alexandria, functional PBE.

Cell: 6.417 6.417 5.029 Å, 90.00 90.00 90.00°
Atoms (fractional coordinates):
K1 0.000 0.500 0.000
K2 0.500 0.000 0.000
Ag1 0.000 0.000 0.000
Te1 0.000 0.000 0.500
S1 0.500 0.500 0.500

Results
For the calculated volume, the calculation gives 41.4 Å³/atom. Its symmetry is No. 123. The calculation puts the density of states at the Fermi level at 5.9 states/eV/f.u. Its electronic total energy is -13.085 eV per formula unit. For the density, the calculation gives 2.77 g cm⁻³.